*a*
DFT (PBE) results for a geometry-optimized PHF3 structure.

It has space group P1 (No. 1), with a = 4.6925 Å, b = 4.9754 Å, c = 6.8686 Å, α = 83.37°, β = 89.96° and γ = 89.92°. Symmetry generates all atoms from P at (0.0000, 0.0000, 0.0000), P at (0.4995, 0.3967, 0.4007), H at (0.3487, 0.1668, 0.4833), H at (0.8489, 0.2301, 0.9174), F at (0.2758, 0.0497, 0.8504), F at (0.2852, 0.4540, 0.2055), F at (0.3740, 0.6398, 0.5037), F at (0.7748, 0.3473, 0.5506), F at (0.7848, 0.9424, 0.1949) and F at (0.8758, 0.7571, 0.8966).



*b*
DFT (PBE) results for a geometry-optimized PHF3 structure.

As for the density of states at the Fermi level: 0.00 states/eV/cell.

It has space group Pm-3m (No. 221), with a = 3.9616 Å, b = 3.9616 Å, c = 3.9616 Å, α = 90.00°, β = 90.00° and γ = 90.00°. Symmetry generates all atoms from P at (0.0000, 0.0000, 0.0000), H at (0.5000, 0.5000, 0.5000) and F at (0.0000, 0.0000, 0.5000).



It comes down to *a*, which is 0.692 eV/atom more stable than the next structure.